# 1
Below is crystalline AcPr3Sb3 at its relaxed geometry, with properties calculated at the PBE-GGA level.

Values from the calculation:
E_form (uncorrected) (kJ/mol of formula units): -704.4
DOS(E_F) (states/eV per atom): 1.060
Electronic total energy (eV for the cell shown): -152.5

abc: 9.7172 9.7172 9.7172
angles: 90.00 90.00 90.00
Atoms (fractional coordinates):
Ac  0.0700  0.4300  0.5700
Ac  0.4300  0.5700  0.0700
Ac  0.5700  0.0700  0.4300
Ac  0.9300  0.9300  0.9300
Pr  0.0723  0.5723  0.9277
Pr  0.1798  0.8202  0.3202
Pr  0.1820  0.1820  0.1820
Pr  0.3180  0.8180  0.6820
Pr  0.3202  0.1798  0.8202
Pr  0.4277  0.4277  0.4277
Pr  0.5723  0.9277  0.0723
Pr  0.6798  0.6798  0.6798
Pr  0.6820  0.3180  0.8180
Pr  0.8180  0.6820  0.3180
Pr  0.8202  0.3202  0.1798
Pr  0.9277  0.0723  0.5723
Sb  0.0017  0.2559  0.8805
Sb  0.1195  0.5017  0.2441
Sb  0.2441  0.1195  0.5017
Sb  0.2559  0.8805  0.0017
Sb  0.3805  0.4983  0.7441
Sb  0.4983  0.7441  0.3805
Sb  0.5017  0.2441  0.1195
Sb  0.6195  0.9983  0.7559
Sb  0.7441  0.3805  0.4983
Sb  0.7559  0.6195  0.9983
Sb  0.8805  0.0017  0.2559
Sb  0.9983  0.7559  0.6195

---

# 2
Below is crystalline AcPr3Sb4 at its relaxed geometry, with properties calculated at the PBE-GGA level.

Values from the calculation:
E_form (uncorrected) (kJ/mol of formula units): -915.8
DOS(E_F) (states/eV per atom): 0.112
Electronic total energy (eV for the cell shown): -88.9

abc: 9.2453 13.0664 4.6229
angles: 90.00 90.00 90.00
Atoms (fractional coordinates):
Ac  0.0000  0.0000  0.0000
Ac  0.5000  0.5000  0.0000
Pr  0.0000  0.5000  0.0000
Pr  0.2500  0.2500  0.5000
Pr  0.2500  0.7500  0.5000
Pr  0.5000  0.0000  0.0000
Pr  0.7500  0.2500  0.5000
Pr  0.7500  0.7500  0.5000
Sb  0.0000  0.2541  0.0000
Sb  0.0000  0.7459  0.0000
Sb  0.2416  0.5000  0.5000
Sb  0.2584  0.0000  0.5000
Sb  0.5000  0.2459  0.0000
Sb  0.5000  0.7541  0.0000
Sb  0.7416  0.0000  0.5000
Sb  0.7584  0.5000  0.5000

---

# 3
Below is crystalline AcPr2Sb3 at its relaxed geometry, with properties calculated at the PBE-GGA level.

Values from the calculation:
E_form (uncorrected) (kJ/mol of formula units): -686.1
DOS(E_F) (states/eV per atom): 0.161
Electronic total energy (eV for the cell shown): -66.3

abc: 4.6422 6.5713 13.9184
angles: 90.00 90.00 90.00
Atoms (fractional coordinates):
Ac  0.0000  0.0000  0.0000
Ac  0.5000  0.5000  0.5000
Pr  0.0000  0.0000  0.3345
Pr  0.0000  0.0000  0.6655
Pr  0.5000  0.5000  0.1655
Pr  0.5000  0.5000  0.8345
Sb  0.0000  0.5000  0.0000
Sb  0.0000  0.5000  0.3267
Sb  0.0000  0.5000  0.6733
Sb  0.5000  0.0000  0.1733
Sb  0.5000  0.0000  0.5000
Sb  0.5000  0.0000  0.8267

---

# 4
Below is crystalline AcPr2Sb at its relaxed geometry, with properties calculated at the PBE-GGA level.

Values from the calculation:
E_form (uncorrected) (kJ/mol of formula units): -117.8
DOS(E_F) (states/eV per atom): 0.461
Electronic total energy (eV for the cell shown): -76.0

abc: 8.0561 8.0561 8.0561
angles: 90.00 90.00 90.00
Atoms (fractional coordinates):
Ac  0.0000  0.0000  0.0000
Ac  0.0000  0.5000  0.5000
Ac  0.5000  0.0000  0.5000
Ac  0.5000  0.5000  0.0000
Pr  0.2500  0.2500  0.2500
Pr  0.2500  0.2500  0.7500
Pr  0.2500  0.7500  0.2500
Pr  0.2500  0.7500  0.7500
Pr  0.7500  0.2500  0.2500
Pr  0.7500  0.2500  0.7500
Pr  0.7500  0.7500  0.2500
Pr  0.7500  0.7500  0.7500
Sb  0.0000  0.0000  0.5000
Sb  0.0000  0.5000  0.0000
Sb  0.5000  0.0000  0.0000
Sb  0.5000  0.5000  0.5000

---

# 5
Below is crystalline AcPr2Sb at its relaxed geometry, with properties calculated at the PBE-GGA level.

Values from the calculation:
E_form (uncorrected) (kJ/mol of formula units): -83.7
DOS(E_F) (states/eV per atom): 1.409
Electronic total energy (eV for the cell shown): -56.0

abc: 4.1217 4.1217 34.0639
angles: 90.00 90.00 120.00
Atoms (fractional coordinates):
Ac  0.0000  0.0000  0.0000
Ac  0.3333  0.6667  0.6667
Ac  0.6667  0.3333  0.3333
Pr  0.0000  0.0000  0.1089
Pr  0.0000  0.0000  0.8911
Pr  0.3333  0.6667  0.5578
Pr  0.3333  0.6667  0.7756
Pr  0.6667  0.3333  0.2244
Pr  0.6667  0.3333  0.4422
Sb  0.0000  0.0000  0.5000
Sb  0.3333  0.6667  0.1667
Sb  0.6667  0.3333  0.8333

---

# 6
Below is crystalline Ac4PrSb5 at its relaxed geometry, with properties calculated at the PBE-GGA level.

Values from the calculation:
E_form (uncorrected) (kJ/mol of formula units): -1157.0
DOS(E_F) (states/eV per atom): 0.145
Electronic total energy (eV for the cell shown): -53.8

abc: 17.1314 17.1314 17.1314
angles: 164.03 164.03 22.66
Atoms (fractional coordinates):
Ac  0.0988  0.0988  0.0000
Ac  0.3009  0.3009  0.0000
Ac  0.6991  0.6991  0.0000
Ac  0.9012  0.9012  0.0000
Pr  0.5000  0.5000  0.0000
Sb  0.0000  0.0000  0.0000
Sb  0.1998  0.1998  0.0000
Sb  0.4026  0.4026  0.0000
Sb  0.5974  0.5974  0.0000
Sb  0.8002  0.8002  0.0000

---

# 7
Below is crystalline AcPrSb at its relaxed geometry, with properties calculated at the PBE-GGA level.

Values from the calculation:
E_form (uncorrected) (kJ/mol of formula units): -171.4
DOS(E_F) (states/eV per atom): 0.953
Electronic total energy (eV for the cell shown): -59.1

abc: 7.6915 7.6915 7.6915
angles: 90.00 90.00 90.00
Atoms (fractional coordinates):
Ac  0.0000  0.0000  0.0000
Ac  0.0000  0.5000  0.5000
Ac  0.5000  0.0000  0.5000
Ac  0.5000  0.5000  0.0000
Pr  0.0000  0.0000  0.5000
Pr  0.0000  0.5000  0.0000
Pr  0.5000  0.0000  0.0000
Pr  0.5000  0.5000  0.5000
Sb  0.2500  0.2500  0.7500
Sb  0.2500  0.7500  0.2500
Sb  0.7500  0.2500  0.2500
Sb  0.7500  0.7500  0.7500

---

# 8
Below is crystalline AcPrSb at its relaxed geometry, with properties calculated at the PBE-GGA level.

Values from the calculation:
E_form (uncorrected) (kJ/mol of formula units): -134.2
DOS(E_F) (states/eV per atom): 1.137
Electronic total energy (eV for the cell shown): -14.4

abc: 5.3430 5.3430 4.4378
angles: 90.00 90.00 120.00
Atoms (fractional coordinates):
Ac  0.0000  0.0000  0.0000
Pr  0.6667  0.3333  0.4865
Sb  0.3333  0.6667  0.5895

---

# 9
Below is crystalline AcPr2Sb at its relaxed geometry, with properties calculated at the PBE-GGA level.

Values from the calculation:
E_form (uncorrected) (kJ/mol of formula units): -198.6
DOS(E_F) (states/eV per atom): 1.770
Electronic total energy (eV for the cell shown): -19.8

abc: 4.1465 4.1465 7.9023
angles: 90.00 90.00 90.00
Atoms (fractional coordinates):
Ac  0.0000  0.0000  0.0000
Pr  0.5000  0.5000  0.2939
Pr  0.5000  0.5000  0.7061
Sb  0.0000  0.0000  0.5000

---

# 10
Below is crystalline Ac5PrSb6 at its relaxed geometry, with properties calculated at the PBE-GGA level.

Values from the calculation:
E_form (uncorrected) (kJ/mol of formula units): -1396.4
DOS(E_F) (states/eV per atom): 0.092
Electronic total energy (eV for the cell shown): -64.5

abc: 8.2486 8.2486 8.2488
angles: 99.60 99.60 120.00
Atoms (fractional coordinates):
Ac  0.0000  0.0000  0.0000
Ac  0.1661  0.8339  0.5000
Ac  0.3318  0.6682  0.0000
Ac  0.6682  0.3318  0.0000
Ac  0.8339  0.1661  0.5000
Pr  0.5000  0.5000  0.5000
Sb  0.0917  0.4184  0.2547
Sb  0.2560  0.2560  0.7468
Sb  0.4184  0.0917  0.2547
Sb  0.5816  0.9083  0.7453
Sb  0.7440  0.7440  0.2532
Sb  0.9083  0.5816  0.7453

---

# 11
Below is crystalline AcPr3Sb4 at its relaxed geometry, with properties calculated at the PBE-GGA level.

Values from the calculation:
E_form (uncorrected) (kJ/mol of formula units): -910.4
DOS(E_F) (states/eV per atom): 0.127
Electronic total energy (eV for the cell shown): -44.4

abc: 6.5374 6.5374 6.5374
angles: 90.00 90.00 90.00
Atoms (fractional coordinates):
Ac  0.0000  0.0000  0.0000
Pr  0.0000  0.5000  0.5000
Pr  0.5000  0.0000  0.5000
Pr  0.5000  0.5000  0.0000
Sb  0.0000  0.0000  0.5000
Sb  0.0000  0.5000  0.0000
Sb  0.5000  0.0000  0.0000
Sb  0.5000  0.5000  0.5000

---

# 12
Below is crystalline AcPrSb at its relaxed geometry, with properties calculated at the PBE-GGA level.

Values from the calculation:
E_form (uncorrected) (kJ/mol of formula units): -184.2
DOS(E_F) (states/eV per atom): 1.275
Electronic total energy (eV for the cell shown): -29.8

abc: 4.2455 4.2455 11.4053
angles: 90.00 90.00 90.00
Atoms (fractional coordinates):
Ac  0.0000  0.0000  0.0000
Ac  0.5000  0.5000  0.5000
Pr  0.0000  0.0000  0.2964
Pr  0.5000  0.5000  0.7964
Sb  0.0000  0.0000  0.6704
Sb  0.5000  0.5000  0.1704